VASP calculation (PBE) on an optimized crystal structure of SmDy6Y2Er.

Cell: 9.1242 15.0195 9.4733 Å, 90.00 96.46 90.00°
With the nearest neighbours (Å) after each atom.
Space group C2/c (No. 15)
One atom of each set of equivalent atoms:
Sm1 0.0000 0.0274 0.2500 (multiplicity 4)  4 Y 3.37-3.45, 4 Dy 3.55-3.68
Dy1 0.0617 0.1847 0.9428 (multiplicity 8)  7 Dy 3.40-3.70, 1 Y 3.50, 1 Sm 3.68
Dy2 0.0982 0.3895 0.1175 (multiplicity 8)  4 Dy 3.20-3.49, 3 Y 3.27-3.43, 2 Er 3.42-3.51
Dy3 0.2097 0.2251 0.3152 (multiplicity 8)  3 Dy 3.20-3.57, 1 Y 3.40, 1 Er 3.45, 1 Sm 3.55
Y1 0.2481 0.4486 0.4531 (multiplicity 8)  6 Dy 3.27-3.60, 2 Sm 3.37-3.45, 1 Er 3.51
Er1 0.0000 0.4100 0.7500 (multiplicity 4)  6 Dy 3.42-3.51, 2 Y 3.51

total DFT energy (no corrections) = -4.86 eV/atom